Crystalline Y11Zn9Ag4 at its relaxed geometry. Source: Alexandria via LeMat-Bulk, functional PBE.

Energy of formation = -0.311 eV/atom
Calculated total energy = -4.23 eV per atom

Cell and atoms, written as CIF:
```
data_Y11Zn9Ag4
_space_group_name_H-M_alt 'C m m m'
_space_group_IT_number 65
_space_group_name_Hall '-C 2 2'
_cell_length_a 14.402
_cell_length_b 21.181
_cell_length_c 3.630
_cell_angle_alpha 90.00
_cell_angle_beta 90.00
_cell_angle_gamma 90.00
loop_
_atom_site_label
_atom_site_type_symbol
_atom_site_fract_x
_atom_site_fract_y
_atom_site_fract_z
Y1 Y 0.000 0.000 0.000
Y2 Y 0.000 0.172 0.000
Y3 Y 0.000 0.346 0.000
Y4 Y 0.241 0.171 0.000
Y5 Y 0.246 0.000 0.000
Zn1 Zn 0.000 0.500 0.500
Zn2 Zn 0.118 0.258 0.500
Zn3 Zn 0.121 0.084 0.500
Ag1 Ag 0.140 0.413 0.500
```

Crystalline Pm3Zn2Ga9 at its relaxed geometry. Source: Alexandria via LeMat-Bulk, functional PBE.

Energy of formation = -0.494 eV/atom
Calculated total energy = -3.64 eV per atom

Cell and atoms, written as CIF:
```
data_Pm3Zn2Ga9
_space_group_name_H-M_alt 'I m m m'
_space_group_IT_number 71
_space_group_name_Hall '-I 2 2'
_cell_length_a 4.274
_cell_length_b 10.090
_cell_length_c 12.709
_cell_angle_alpha 90.00
_cell_angle_beta 90.00
_cell_angle_gamma 90.00
loop_
_atom_site_label
_atom_site_type_symbol
_atom_site_fract_x
_atom_site_fract_y
_atom_site_fract_z
Pm1 Pm 0.000 0.000 0.000
Pm2 Pm 0.000 0.000 0.321
Zn1 Zn 0.000 0.218 0.500
Ga1 Ga 0.000 0.274 0.140
Ga2 Ga 0.000 0.373 0.336
Ga3 Ga 0.000 0.500 0.000
```